# 1
Below is crystalline Rb4LiSe4O14 at its relaxed geometry, with properties calculated at the PBE level.

Output
* ΔE_f (raw): -1.168 eV per atom

Cell and atoms, written as POSCAR:
```
Rb4LiSe4O14
1.0
7.899 0.042 0.034
0.226 7.958 -0.136
0.259 3.286 7.180
O Rb Se Li
14 4 4 1
Direct
0.977 0.642 0.107 O
0.067 0.790 0.357 O
0.974 0.324 0.556 O
0.577 0.817 0.398 O
0.770 0.112 0.369 O
0.485 0.764 0.887 O
0.284 0.551 0.275 O
0.219 0.916 0.027 O
0.405 0.137 0.741 O
0.693 0.429 0.711 O
0.818 0.094 0.887 O
0.200 0.894 0.682 O
0.510 0.166 0.129 O
0.005 0.393 0.868 O
0.837 0.795 0.730 Rb
0.135 0.194 0.274 Rb
0.658 0.489 0.299 Rb
0.317 0.547 0.658 Rb
0.881 0.311 0.754 Se
0.335 0.925 0.820 Se
0.128 0.704 0.207 Se
0.663 0.015 0.251 Se
0.577 0.197 0.875 Li
```

***

# 2
Below is crystalline Rb4LiSe4O14 at its relaxed geometry, with properties calculated at the PBE level.

Output
* ΔE_f (raw): -1.158 eV per atom

Cell and atoms, written as POSCAR:
```
Rb4LiSe4O14
1.0
-2.787 -3.554 -6.371
2.472 -7.311 2.233
-7.321 -3.678 0.855
O Rb Se Li
14 4 4 1
Direct
0.337 0.093 0.813 O
0.651 0.969 0.269 O
0.779 0.879 0.537 O
0.706 0.217 0.813 O
0.323 0.311 0.522 O
0.030 0.758 0.044 O
0.845 0.538 0.732 O
0.641 0.640 0.437 O
0.022 0.276 0.875 O
0.113 0.023 0.643 O
0.372 0.613 0.862 O
0.321 0.785 0.144 O
0.143 0.483 0.218 O
0.677 0.388 0.090 O
0.334 0.162 0.175 Rb
0.745 0.857 0.912 Rb
0.746 0.287 0.413 Rb
0.240 0.670 0.525 Rb
0.771 0.821 0.350 Se
0.220 0.658 0.069 Se
0.216 0.163 0.696 Se
0.798 0.358 0.877 Se
0.627 0.645 0.683 Li
```

***

# 3
Below is crystalline Rb4LiSe4O14 at its relaxed geometry, with properties calculated at the PBE level.

Output
* ΔE_f (raw): -1.140 eV per atom

Cell and atoms, written as POSCAR:
```
Rb4LiSe4O14
1.0
4.158 7.090 0.062
-4.158 7.090 0.062
0.000 0.621 7.833
O Se Li Rb
14 4 1 4
Direct
0.105 0.895 0.500 O
0.356 0.755 0.765 O
0.143 0.218 0.172 O
0.782 0.857 0.828 O
0.147 0.534 0.545 O
0.466 0.853 0.455 O
0.792 0.310 0.318 O
0.245 0.644 0.235 O
0.896 0.104 0.000 O
0.690 0.208 0.682 O
0.516 0.173 0.983 O
0.176 0.130 0.642 O
0.870 0.824 0.358 O
0.827 0.484 0.017 O
0.921 0.280 0.131 Se
0.720 0.079 0.869 Se
0.295 0.908 0.601 Se
0.092 0.705 0.399 Se
0.872 0.128 0.500 Li
0.467 0.219 0.356 Rb
0.169 0.527 0.918 Rb
0.781 0.533 0.644 Rb
0.473 0.831 0.082 Rb
```

***

# 4
Below is crystalline Rb4LiSe4O14 at its relaxed geometry, with properties calculated at the PBE level.

Output
* ΔE_f (raw): -1.170 eV per atom

Cell and atoms, written as POSCAR:
```
Rb4LiSe4O14
1.0
7.957 0.336 -0.243
-0.233 7.157 0.301
-1.196 -3.116 7.844
Se O Rb Li
4 14 4 1
Direct
0.830 0.786 0.714 Se
0.625 0.185 0.871 Se
0.175 0.253 0.337 Se
0.363 0.774 0.041 Se
0.673 0.338 0.065 O
0.435 0.072 0.814 O
0.389 0.599 0.858 O
0.780 0.997 0.889 O
0.089 0.096 0.415 O
0.927 0.885 0.603 O
0.368 0.345 0.457 O
0.554 0.855 0.169 O
0.045 0.440 0.346 O
0.646 0.664 0.607 O
0.677 0.277 0.730 O
0.950 0.669 0.826 O
0.198 0.139 0.138 O
0.245 0.661 0.133 O
0.710 0.240 0.370 Rb
0.293 0.782 0.496 Rb
0.891 0.714 0.178 Rb
0.120 0.285 0.843 Rb
0.507 0.477 0.677 Li
```

***

# 5
Below is crystalline RbLiSe2O at its relaxed geometry, with properties calculated at the PBE level.

Output
* ΔE_f (raw): -0.093 eV per atom

Cell and atoms, written as POSCAR:
```
RbLiSe2O
1.0
4.474 0.000 0.000
0.000 7.466 0.000
0.000 0.000 4.474
Rb Se O Li
1 2 1 1
Direct
0.000 0.500 0.000 Rb
0.500 0.000 0.000 Se
0.000 0.000 0.500 Se
0.500 0.500 0.500 O
0.000 0.000 0.000 Li
```

***

# 6
Below is crystalline Rb4LiSe4O14 at its relaxed geometry, with properties calculated at the PBE level.

Output
* ΔE_f (raw): -1.123 eV per atom

Cell and atoms, written as POSCAR:
```
Rb4LiSe4O14
1.0
7.786 0.370 0.179
0.369 7.989 0.459
-0.418 -3.414 7.430
Rb O Se Li
4 14 4 1
Direct
0.659 0.573 0.768 Rb
0.179 0.163 0.632 Rb
0.821 0.837 0.368 Rb
0.341 0.427 0.232 Rb
0.700 0.436 0.388 O
0.956 0.454 0.174 O
0.033 0.844 0.731 O
0.044 0.546 0.826 O
0.486 0.274 0.868 O
0.593 0.915 0.685 O
0.300 0.564 0.612 O
0.244 0.899 0.011 O
0.793 0.184 0.694 O
0.407 0.085 0.315 O
0.756 0.101 0.989 O
0.514 0.726 0.132 O
0.967 0.156 0.269 O
0.207 0.816 0.306 O
0.652 0.119 0.799 Se
0.161 0.680 0.770 Se
0.348 0.881 0.201 Se
0.839 0.320 0.230 Se
0.000 0.000 0.000 Li
```

***

# 7
Below is crystalline Rb2LiSe2O6 at its relaxed geometry, with properties calculated at the PBE level.

Output
* ΔE_f (raw): -1.227 eV per atom

Cell and atoms, written as POSCAR:
```
Rb2LiSe2O6
1.0
6.064 0.000 0.000
3.032 5.252 0.000
3.032 1.751 7.109
Se Li O Rb
2 1 6 2
Direct
0.424 0.424 0.728 Se
0.576 0.576 0.272 Se
0.000 0.000 0.000 Li
0.756 0.756 0.184 O
0.244 0.244 0.816 O
0.244 0.697 0.816 O
0.303 0.756 0.184 O
0.756 0.303 0.184 O
0.697 0.244 0.816 O
0.735 0.735 0.795 Rb
0.265 0.265 0.205 Rb
```

***

# 8
Below is crystalline Rb3LiSi2O6 at its relaxed geometry, with properties calculated at the PBE level.

Output
* ΔE_f (raw): -2.045 eV per atom

Cell and atoms, written as POSCAR:
```
Rb3LiSi2O6
1.0
6.047 0.000 0.000
-3.024 5.237 0.000
0.000 0.000 7.274
O Si Rb Li
6 2 3 1
Direct
0.182 0.818 0.291 O
0.363 0.182 0.709 O
0.818 0.637 0.709 O
0.637 0.818 0.291 O
0.182 0.363 0.291 O
0.818 0.182 0.709 O
0.667 0.333 0.711 Si
0.333 0.667 0.289 Si
0.667 0.333 0.270 Rb
0.333 0.667 0.730 Rb
0.000 0.000 0.000 Rb
0.000 0.000 0.500 Li
```

***

no.,E_tot (eV per cell)
1,-116.0
2,-115.8
3,-115.4
4,-116.0
5,-15.3
6,-115.0
7,-54.1
8,-70.0